Record 1
A geometry-optimized Tb2CdIn structure, computed with PBE.

Computed properties:
Density, g/cm3: 8.47

Geometry as CIF:
```
data_Tb2CdIn
_chemical_formula_sum 'Tb2 Cd1 In1'
_symmetry_space_group_name_H-M 'P 4/m m m'
_symmetry_Int_Tables_number 123
_symmetry_space_group_name_Hall '-P 4 2'
_cell_length_a 5.3419
_cell_length_b 5.3419
_cell_length_c 3.7466
_cell_angle_alpha 90.00
_cell_angle_beta 90.00
_cell_angle_gamma 90.00
loop_
_atom_site_label
_atom_site_type_symbol
_atom_site_fract_x
_atom_site_fract_y
_atom_site_fract_z
Tb1 Tb 0.0000 0.5000 0.0000
Cd1 Cd 0.0000 0.0000 0.5000
In1 In 0.5000 0.5000 0.5000
```

---

Record 2
A geometry-optimized TbCd6In2 structure, computed with PBE.

Computed properties:
Density, g/cm3: 7.94

Geometry as CIF:
```
data_TbCd6In2
_chemical_formula_sum 'Tb2 Cd12 In4'
_symmetry_space_group_name_H-M 'C 1 2/m 1'
_symmetry_Int_Tables_number 12
_symmetry_space_group_name_Hall '-C 2y'
_cell_length_a 7.3459
_cell_length_b 14.8249
_cell_length_c 4.2748
_cell_angle_alpha 90.00
_cell_angle_beta 107.20
_cell_angle_gamma 90.00
loop_
_atom_site_label
_atom_site_type_symbol
_atom_site_fract_x
_atom_site_fract_y
_atom_site_fract_z
Tb1 Tb 0.0000 0.0000 0.0000
Cd1 Cd 0.1525 0.5000 0.3226
Cd2 Cd 0.1680 0.3413 0.8285
In1 In 0.0000 0.1672 0.5000
```

---

| no. | total magnetic moment (μB per formula unit) | calculated formation energy (kJ/mol of atoms) |
| --- | --- | --- |
| 1 | 0.000 | -39.5 |
| 2 | 0.000 | -9.1 |